# KSrPd3 GGA-PBE optimized geometry
data_KSrPd3
_chemical_formula_sum 'K1 Sr1 Pd3'
_cell_length_a 5.435
_cell_length_b 5.435
_cell_length_c 5.435
_cell_angle_alpha 90.00
_cell_angle_beta 90.00
_cell_angle_gamma 90.00
_space_group_name_H-M_alt 'P m -3 m'
_space_group_IT_number 221
_space_group_name_Hall '-P 4 2 3'
loop_
_atom_site_label
_atom_site_fract_x
_atom_site_fract_y
_atom_site_fract_z
K1 0.000 0.000 0.000
Sr1 0.500 0.500 0.500
Pd1 0.000 0.500 0.500
# E_form ... 500 meV per atom
# VASP energy ... -3.17 eV/atom